1.
VASP calculation (PBE) on crystalline Sm3BeHg2Rh3 at its relaxed geometry.

```
Sm3BeHg2Rh3
1.0
7.699 0.000 0.000
-3.850 6.668 0.000
0.000 0.000 3.619
Sm Be Hg Rh
3 1 2 3
Direct
0.000 0.354 0.000 Sm
0.354 0.000 0.000 Sm
0.646 0.646 0.000 Sm
0.000 0.000 0.000 Be
0.333 0.667 0.500 Hg
0.667 0.333 0.500 Hg
0.000 0.785 0.500 Rh
0.215 0.215 0.500 Rh
0.785 0.000 0.500 Rh
```

Calculated values
Formation energy from the elements (eV/f.u.): -4.92
Raw total energy (eV/cell): -45.46

***

2.
VASP calculation (PBE) on crystalline NdEuHoEr at its relaxed geometry.

```
NdEuHoEr
1.0
0.000 4.079 4.079
4.079 0.000 4.079
4.079 4.079 0.000
Nd Eu Ho Er
1 1 1 1
Direct
0.000 0.000 0.000 Nd
0.500 0.500 0.500 Eu
0.750 0.750 0.750 Ho
0.250 0.250 0.250 Er
```

Calculated values
Formation energy from the elements (eV/f.u.): 0.59
Raw total energy (eV/cell): -23.59

***

3.
VASP calculation (PBE) on crystalline Nd5Er5Tm2 at its relaxed geometry.

```
Nd5Er5Tm2
1.0
7.579 -2.520 0.000
7.579 2.520 0.000
-5.070 0.000 10.147
Nd Er Tm
5 5 2
Direct
0.000 0.000 0.000 Nd
0.084 0.084 0.751 Nd
0.166 0.166 0.499 Nd
0.834 0.834 0.501 Nd
0.916 0.916 0.249 Nd
0.248 0.248 0.247 Er
0.332 0.332 0.999 Er
0.500 0.500 0.500 Er
0.668 0.668 0.001 Er
0.752 0.752 0.753 Er
0.417 0.417 0.752 Tm
0.583 0.583 0.248 Tm
```

Calculated values
Formation energy from the elements (eV/f.u.): 0.26
Raw total energy (eV/cell): -55.34

***

4.
VASP calculation (PBE) on crystalline LaMn2PN2 at its relaxed geometry.

```
LaMn2PN2
1.0
5.962 0.000 0.000
0.000 4.781 0.000
-2.354 0.000 6.486
La Mn P N
2 4 2 4
Direct
0.180 0.250 0.341 La
0.820 0.750 0.659 La
0.364 0.000 0.804 Mn
0.364 0.500 0.804 Mn
0.636 0.000 0.196 Mn
0.636 0.500 0.196 Mn
0.293 0.750 0.058 P
0.707 0.250 0.942 P
0.134 0.250 0.690 N
0.397 0.750 0.623 N
0.603 0.250 0.377 N
0.866 0.750 0.310 N
```

Calculated values
Raw total energy (eV/cell): -99.72
Formation energy (no corrections) (eV per atom): -0.755

***

5.
VASP calculation (PBE) on crystalline BePC2 at its relaxed geometry.

```
BePC2
1.0
-2.111 2.111 4.135
2.111 -2.111 4.135
2.111 2.111 -4.135
Be P C
2 2 4
Direct
0.000 0.000 0.000 Be
0.750 0.250 0.500 Be
0.250 0.750 0.500 P
0.500 0.500 0.000 P
0.136 0.625 0.011 C
0.375 0.386 0.511 C
0.614 0.125 0.989 C
0.875 0.864 0.489 C
```

Calculated values
Excess energy over the best structure of this formula in the dataset (meV/atom): 0.0
Formation energy from the elements (eV/f.u.): 1.56
Raw total energy (eV/cell): -52.04

***

6.
VASP calculation (PBE) on crystalline NaLa4Ir2 at its relaxed geometry.

```
NaLa4Ir2
1.0
5.539 -5.858 0.000
5.539 5.858 0.000
-4.168 0.000 7.270
Na La Ir
2 8 4
Direct
0.001 0.999 0.750 Na
0.999 0.001 0.250 Na
0.246 0.730 0.468 La
0.270 0.754 0.032 La
0.284 0.314 0.123 La
0.314 0.284 0.623 La
0.686 0.716 0.377 La
0.716 0.686 0.877 La
0.730 0.246 0.968 La
0.754 0.270 0.532 La
0.000 0.500 0.000 Ir
0.500 0.000 0.500 Ir
0.500 0.500 0.000 Ir
0.500 0.500 0.500 Ir
```

Calculated values
Formation energy from the elements (eV/f.u.): -2.59
Raw total energy (eV/cell): -82.68